Below is PrAs2Pd7 after structural relaxation, with properties calculated at the PBE level.

Summary:
- Magnetic moment: 0.000 μB/cell
- Energy of formation from the pure elements: -0.35 eV per atom

a b c (Å): 4.554 7.158 7.158
angles (deg): 117.59 90.00 90.00
Fractional positions:
Pr 0.000 0.000 0.000
As 0.500 0.694 0.306
As 0.500 0.306 0.694
Pd 0.000 0.764 0.236
Pd 0.000 0.236 0.764
Pd 0.500 0.058 0.313
Pd 0.500 0.942 0.687
Pd 0.500 0.313 0.058
Pd 0.500 0.687 0.942
Pd 0.500 0.500 0.500

=====

Below is Pr3As3Pd2 after structural relaxation, with properties calculated at the PBE level.

Summary:
- Magnetic moment: 0.783 μB/cell
- Energy of formation from the pure elements: -1.10 eV per atom

a b c (Å): 4.341 6.024 14.866
angles (deg): 90.00 90.00 111.12
Site moments in Bohr magnetons follow the coordinates.
Fractional positions:
Pr 0.922 0.843 0.393  0.04
Pr 0.078 0.157 0.893  0.04
Pr 0.922 0.843 0.107  0.04
Pr 0.078 0.157 0.607  0.04
Pr 0.642 0.284 0.250  0.07
Pr 0.358 0.716 0.750  0.07
As 0.624 0.247 0.452  -0.01
As 0.376 0.753 0.952  -0.01
As 0.624 0.247 0.048  -0.01
As 0.376 0.753 0.548  -0.01
As 0.352 0.703 0.250  -0.01
As 0.648 0.297 0.750  -0.01
Pd 0.779 0.558 0.900  0.01
Pd 0.221 0.442 0.400  0.01
Pd 0.779 0.558 0.600  0.01
Pd 0.221 0.442 0.100  0.01